Entry from Alexandria via LeMat-Bulk: an optimized crystal structure of CsYHf2Cl (PBE-GGA).

Summary:
magnetic moment: 0.0 μB/cell
calculated volume: 33.4 A^3/atom
ρ: 6.10 Mg/m³
N(E_F): 7.25 states/eV/f.u.
ΔE_f (raw): 1.584 eV per atom
crystal system: tetragonal

Structure (CIF):
```
data_CsYHf2Cl
_chemical_formula_sum 'Cs1 Y1 Hf2 Cl1'
_space_group_name_H-M_alt 'P 4/m m m'
_space_group_IT_number 123
_space_group_name_Hall '-P 4 2'
_cell_length_a 5.361
_cell_length_b 5.361
_cell_length_c 5.816
_cell_angle_alpha 90.00
_cell_angle_beta 90.00
_cell_angle_gamma 90.00
loop_
_atom_site_label
_atom_site_type_symbol
_atom_site_fract_x
_atom_site_fract_y
_atom_site_fract_z
_atom_site_occupancy
Cs1 Cs 0.000 0.000 0.000 1
Y1 Y 0.500 0.500 0.500 1
Hf1 Hf 0.000 0.500 0.000 1
Cl1 Cl 0.000 0.000 0.500 1
```